# 1
An optimized crystal structure of TmHfZn2. Source: Alexandria via LeMat-Bulk, functional PBE-GGA.

Structure (POSCAR):
```
TmHfZn2
1.0
3.403 0.000 0.000
0.000 3.403 0.000
0.000 0.000 6.823
Zn Tm Hf
2 1 1
Cartesian
0.000 0.000 5.263
0.000 0.000 1.561
1.701 1.701 3.412
1.701 1.701 0.000
```

Values from the calculation:
- magnetic moment (μB/cell) = 0.00
- formation enthalpy at 0 K (eV per atom) = -0.245
- space group = P4/mmm (123)


# 2
An optimized crystal structure of TmHf2Zr2. Source: Alexandria via LeMat-Bulk, functional PBE-GGA.

Structure (POSCAR):
```
TmHf2Zr2
1.0
-0.283 -0.509 -3.089
4.822 0.217 -3.686
-1.089 -7.249 4.498
Zr Hf Tm
2 2 1
Cartesian
0.882 -5.520 0.829
2.569 -2.021 -3.106
3.137 -4.434 -1.161
0.314 -3.108 -1.116
0.000 0.000 0.000
```

Values from the calculation:
- magnetic moment (μB/cell) = 0.00
- formation enthalpy at 0 K (eV per atom) = 0.156
- space group = C2/m (12)


# 3
An optimized crystal structure of TmHfZr14. Source: Alexandria via LeMat-Bulk, functional PBE-GGA.

Structure (POSCAR):
```
TmHfZr14
1.0
-0.147 -5.497 -3.064
5.775 0.560 2.442
-3.072 -4.546 8.304
Zr Hf Tm
14 1 1
Cartesian
3.453 -4.742 4.646
1.060 -5.335 6.580
1.992 -3.309 -1.075
-1.539 -7.960 3.895
1.111 -2.688 4.904
4.614 -0.627 1.363
1.690 -0.539 0.330
4.931 -3.382 -0.027
-1.856 -5.244 5.423
2.679 -2.939 2.202
-0.068 -5.782 -0.083
-0.303 -2.946 1.224
2.916 -5.770 0.869
1.363 -8.068 5.068
3.933 -2.026 6.310
0.617 -5.418 3.227
```

Values from the calculation:
- magnetic moment (μB/cell) = 0.00
- formation enthalpy at 0 K (eV per atom) = 0.053
- space group = Amm2 (38)


# 4
An optimized crystal structure of TmHf6Zr. Source: Alexandria via LeMat-Bulk, functional PBE-GGA.

Structure (POSCAR):
```
TmHf6Zr
1.0
5.082 0.000 0.000
0.000 5.620 0.000
0.000 0.000 6.492
Hf Tm Zr
6 1 1
Cartesian
2.541 1.787 0.000
2.541 4.709 1.668
0.000 0.929 1.647
0.000 0.929 4.845
0.000 3.774 3.246
2.541 4.709 4.824
0.000 3.734 0.000
2.541 1.908 3.246
```

Values from the calculation:
- magnetic moment (μB/cell) = 0.00
- formation enthalpy at 0 K (eV per atom) = 0.022
- space group = Pmm2 (25)